Below is a crystal of BaAlSn relaxed with PBEsol, with properties calculated at the meta-GGA SCAN level.

The value obtained for the calculated formation energy is -0.530 eV per atom. The calculation puts the total energy at -28.27 eV per atom.

Cell and atoms, written as CIF:
```
data_BaAlSn
_chemical_formula_sum 'Ba1 Al1 Sn1'
_symmetry_space_group_name_H-M 'P -6 m 2'
_symmetry_Int_Tables_number 187
_symmetry_space_group_name_Hall 'P -6 2'
_cell_length_a 4.6185
_cell_length_b 4.6185
_cell_length_c 5.0764
_cell_angle_alpha 90.00
_cell_angle_beta 90.00
_cell_angle_gamma 120.00
loop_
_atom_site_label
_atom_site_type_symbol
_atom_site_fract_x
_atom_site_fract_y
_atom_site_fract_z
_atom_site_occupancy
Ba1 Ba 0.0000 0.0000 0.0000 1
Al1 Al 0.6667 0.3333 0.5000 1
Sn1 Sn 0.3333 0.6667 0.5000 1
```

Below is a crystal of Rb2InHgBr6 relaxed with PBEsol, with properties calculated at the meta-GGA SCAN level.

The calculation puts the total energy at -27.17 eV per atom.

Cell and atoms, written as CIF:
```
data_Rb2InHgBr6
_chemical_formula_sum 'Rb8 In4 Hg4 Br24'
_symmetry_space_group_name_H-M 'F m -3 m'
_symmetry_Int_Tables_number 225
_symmetry_space_group_name_Hall '-F 4 2 3'
_cell_length_a 11.090
_cell_length_b 11.090
_cell_length_c 11.090
_cell_angle_alpha 90.00
_cell_angle_beta 90.00
_cell_angle_gamma 90.00
loop_
_atom_site_label
_atom_site_type_symbol
_atom_site_fract_x
_atom_site_fract_y
_atom_site_fract_z
_atom_site_occupancy
Rb1 Rb 0.250 0.250 0.250 1
In1 In 0.000 0.000 0.000 1
Hg1 Hg 0.000 0.000 0.500 1
Br1 Br 0.000 0.000 0.244 1
```

Below is a crystal of KMnSn3O8 relaxed with PBEsol, with properties calculated at the meta-GGA SCAN level.

The calculation puts the energy above the lowest structure with this stoichiometry at 0.0 meV/atom. The calculation puts the total energy at -16.06 eV per atom.

Cell and atoms, written as CIF:
```
data_KMnSn3O8
_chemical_formula_sum 'K1 Mn1 Sn3 O8'
_symmetry_space_group_name_H-M 'P 1'
_symmetry_Int_Tables_number 1
_cell_length_a 3.208
_cell_length_b 7.449
_cell_length_c 7.470
_cell_angle_alpha 88.86
_cell_angle_beta 79.54
_cell_angle_gamma 78.56
loop_
_symmetry_equiv_pos_as_xyz
'x,y,z'
loop_
_atom_site_label
_atom_site_type_symbol
_atom_site_fract_x
_atom_site_fract_y
_atom_site_fract_z
_atom_site_occupancy
K1 K 0.000 0.000 0.000 1
Mn1 Mn 0.366 0.545 0.819 1
Sn1 Sn 0.186 0.221 0.523 1
Sn2 Sn 0.687 0.509 0.172 1
Sn3 Sn 0.871 0.836 0.502 1
O1 O 0.009 0.426 0.705 1
O2 O 0.063 0.639 0.304 1
O3 O 0.307 0.383 0.034 1
O4 O 0.355 0.737 0.644 1
O5 O 0.368 0.972 0.367 1
O6 O 0.647 0.682 0.959 1
O7 O 0.695 0.083 0.656 1
O8 O 0.711 0.308 0.364 1
```

Below is a crystal of ZnInPb2 relaxed with PBEsol, with properties calculated at the meta-GGA SCAN level.

The value obtained for the calculated formation energy is 0.139 eV per atom. The calculation puts the total energy at -49.48 eV per atom.

Cell and atoms, written as CIF:
```
data_ZnInPb2
_chemical_formula_sum 'Zn1 In1 Pb2'
_symmetry_space_group_name_H-M 'P m m 2'
_symmetry_Int_Tables_number 25
_cell_length_a 3.530
_cell_length_b 3.670
_cell_length_c 7.709
_cell_angle_alpha 90.00
_cell_angle_beta 90.00
_cell_angle_gamma 90.00
loop_
_symmetry_equiv_pos_as_xyz
'x,y,z'
'-x,-y,z'
'-x,y,z'
'x,-y,z'
loop_
_atom_site_label
_atom_site_type_symbol
_atom_site_fract_x
_atom_site_fract_y
_atom_site_fract_z
_atom_site_occupancy
Zn1 Zn 0.000 0.000 0.000 1
In1 In 0.500 0.500 0.194 1
Pb1 Pb 0.000 0.000 0.463 1
Pb2 Pb 0.500 0.500 0.772 1
```

Below is a crystal of RbPaO3 relaxed with PBEsol, with properties calculated at the meta-GGA SCAN level.

The calculation puts the total energy at -31.18 eV per atom.

Cell and atoms, written as CIF:
```
data_RbPaO3
_chemical_formula_sum 'Rb1 Pa1 O3'
_symmetry_space_group_name_H-M 'P m -3 m'
_symmetry_Int_Tables_number 221
_symmetry_space_group_name_Hall '-P 4 2 3'
_cell_length_a 4.363
_cell_length_b 4.363
_cell_length_c 4.363
_cell_angle_alpha 90.00
_cell_angle_beta 90.00
_cell_angle_gamma 90.00
loop_
_atom_site_label
_atom_site_type_symbol
_atom_site_fract_x
_atom_site_fract_y
_atom_site_fract_z
_atom_site_occupancy
Rb1 Rb 0.000 0.000 0.000 1
Pa1 Pa 0.500 0.500 0.500 1
O1 O 0.000 0.500 0.500 1
```

Below is a crystal of K2P2S relaxed with PBEsol, with properties calculated at the meta-GGA SCAN level.

The calculation puts the total energy at -9.67 eV per atom.

Cell and atoms, written as CIF:
```
data_K2P2S
_chemical_formula_sum 'K4 P4 S2'
_symmetry_space_group_name_H-M 'I 4/m m m'
_symmetry_Int_Tables_number 139
_symmetry_space_group_name_Hall '-I 4 2'
_cell_length_a 6.259
_cell_length_b 6.259
_cell_length_c 6.836
_cell_angle_alpha 90.00
_cell_angle_beta 90.00
_cell_angle_gamma 90.00
loop_
_atom_site_label
_atom_site_type_symbol
_atom_site_fract_x
_atom_site_fract_y
_atom_site_fract_z
_atom_site_occupancy
K1 K 0.000 0.500 0.250 1
P1 P 0.000 0.000 0.156 1
S1 S 0.000 0.000 0.500 1
```

Below is a crystal of MnCuN2F relaxed with PBEsol, with properties calculated at the meta-GGA SCAN level.

The calculation puts the total energy at -10.71 eV per atom.

Cell and atoms, written as CIF:
```
data_MnCuN2F
_chemical_formula_sum 'Mn1 Cu1 N2 F1'
_symmetry_space_group_name_H-M 'P 4/m m m'
_symmetry_Int_Tables_number 123
_symmetry_space_group_name_Hall '-P 4 2'
_cell_length_a 3.700
_cell_length_b 3.700
_cell_length_c 3.865
_cell_angle_alpha 90.00
_cell_angle_beta 90.00
_cell_angle_gamma 90.00
loop_
_atom_site_label
_atom_site_type_symbol
_atom_site_fract_x
_atom_site_fract_y
_atom_site_fract_z
_atom_site_occupancy
Mn1 Mn 0.000 0.000 0.000 1
Cu1 Cu 0.500 0.500 0.500 1
N1 N 0.000 0.500 0.500 1
F1 F 0.500 0.500 0.000 1
```

Below is a crystal of LiAl2F relaxed with PBEsol, with properties calculated at the meta-GGA SCAN level.

The calculation puts the total energy at -5.89 eV per atom.

Cell and atoms, written as CIF:
```
data_LiAl2F
_chemical_formula_sum 'Li4 Al8 F4'
_symmetry_space_group_name_H-M 'I -4 2 d'
_symmetry_Int_Tables_number 122
_symmetry_space_group_name_Hall 'I -4 2bw'
_cell_length_a 4.729
_cell_length_b 4.729
_cell_length_c 14.066
_cell_angle_alpha 90.00
_cell_angle_beta 90.00
_cell_angle_gamma 90.00
loop_
_atom_site_label
_atom_site_type_symbol
_atom_site_fract_x
_atom_site_fract_y
_atom_site_fract_z
_atom_site_occupancy
Li1 Li 0.000 0.000 0.000 1
Al1 Al 0.104 0.250 0.625 1
F1 F 0.000 0.000 0.500 1
```

How do the records compare in volume? In the order shown, they have 93.8; 1363.9; 172.0; 99.9; 83.1; 267.8; 52.9; 314.5 Å³ per cell.